## NiAg3Br2Cl6 (PBE)

Data for crystalline NiAg3Br2Cl6 at its relaxed geometry.

The raw formation energy comes out at -338 meV/atom.

Lattice parameters (Å, degrees): 5.843 7.423 7.605 119.25 90.31 90.02
Fractional coordinates of all 12 atoms:
Cl  0.729  0.865  0.730
Br  0.820  0.320  0.640
Cl  0.719  0.851  0.147
Cl  0.281  0.149  0.853
Ag  0.000  0.500  0.000
Cl  0.719  0.297  0.147
Ag  0.500  0.000  0.500
Cl  0.281  0.703  0.853
Ni  0.500  0.000  0.000
Br  0.180  0.680  0.360
Ag  0.500  0.500  0.500
Cl  0.271  0.135  0.270

## NpAgBrCl6 (PBE)

Data for crystalline NpAgBrCl6 at its relaxed geometry.

The raw formation energy comes out at -951 meV/atom.

Lattice parameters (Å, degrees): 6.671 6.669 8.069 89.70 89.81 60.01
Site moments in Bohr magnetons follow the coordinates.
Fractional coordinates of all 9 atoms:
Br  0.000  0.000  0.000  -0.53
Np  0.333  0.333  0.500  2.36
Cl  0.638  0.334  0.685  -0.09
Ag  0.667  0.667  0.500  -0.07
Cl  0.026  0.638  0.685  -0.09
Cl  0.335  0.640  0.315  -0.09
Cl  0.027  0.336  0.315  -0.09
Cl  0.335  0.025  0.685  -0.09
Cl  0.639  0.027  0.315  -0.09

## Ag6Br2ClO (PBE)

Data for crystalline Ag6Br2ClO at its relaxed geometry.

The raw formation energy comes out at -87 meV/atom.

Lattice parameters (Å, degrees): 7.342 6.328 9.456 90.00 78.43 90.00
Fractional coordinates of all 20 atoms:
Ag  0.757  0.286  0.978
Cl  0.000  0.500  0.500
Ag  0.134  0.165  0.016
Ag  0.634  0.335  0.516
Ag  0.366  0.665  0.484
Br  0.054  0.998  0.293
Ag  0.676  0.049  0.256
Br  0.946  0.002  0.707
O  0.000  0.500  0.000
O  0.500  0.000  0.500
Br  0.554  0.502  0.793
Ag  0.257  0.214  0.478
Ag  0.866  0.835  0.984
Cl  0.500  0.000  0.000
Ag  0.824  0.549  0.244
Ag  0.324  0.951  0.744
Ag  0.243  0.714  0.022
Br  0.446  0.498  0.207
Ag  0.176  0.451  0.756
Ag  0.743  0.786  0.522

## Ag3OsBr6Cl2 (PBE)

Data for crystalline Ag3OsBr6Cl2 at its relaxed geometry.

The raw formation energy comes out at -257 meV/atom.

Lattice parameters (Å, degrees): 6.360 7.692 8.250 117.78 103.78 90.00
Site moments in Bohr magnetons follow the coordinates.
Fractional coordinates of all 12 atoms:
Cl  0.739  0.338  0.675  0.07
Ag  0.000  0.500  0.000  0.04
Br  0.731  0.886  0.773  0.07
Ag  0.500  0.500  0.500  0.07
Os  0.500  0.000  0.000  1.48
Ag  0.500  0.000  0.500  0.07
Cl  0.261  0.662  0.325  0.07
Br  0.737  0.865  0.191  0.09
Br  0.737  0.325  0.191  0.09
Br  0.263  0.135  0.809  0.09
Br  0.263  0.675  0.809  0.09
Br  0.269  0.114  0.227  0.07

## AgOsBrCl6 (PBE)

Data for crystalline AgOsBrCl6 at its relaxed geometry.

The raw formation energy comes out at -319 meV/atom.

Lattice parameters (Å, degrees): 6.836 6.770 7.471 79.53 68.89 59.66
Site moments in Bohr magnetons follow the coordinates.
Fractional coordinates of all 9 atoms:
Os  0.333  0.334  0.500  1.36
Cl  0.273  0.034  0.680  0.03
Ag  0.687  0.627  0.500  0.04
Cl  0.146  0.336  0.295  0.11
Cl  0.966  0.606  0.690  0.05
Cl  0.428  0.606  0.310  0.05
Cl  0.693  0.034  0.320  0.03
Cl  0.518  0.336  0.705  0.11
Br  0.956  0.088  0.000  -0.02

## AgPBrCl2 (PBE)

Data for crystalline AgPBrCl2 at its relaxed geometry.

Its energy above the most stable polymorph in this dataset is 305 meV per atom. The raw formation energy comes out at 760 meV/atom.

Lattice parameters (Å, degrees): 5.909 5.909 4.574 90.00 90.00 90.00
Site moments in Bohr magnetons follow the coordinates.
Fractional coordinates of all 5 atoms:
Br  0.000  0.000  0.000  -0.02
P  0.000  0.000  0.500  0.18
Cl  0.500  0.000  0.000  0.01
Ag  0.500  0.500  0.500  0.00
Cl  0.000  0.500  0.000  0.01

## AgPBrCl2 (PBE)

Data for crystalline AgPBrCl2 at its relaxed geometry.

Its energy above the most stable polymorph in this dataset is 3 meV per atom. The raw formation energy comes out at 458 meV/atom.

Lattice parameters (Å, degrees): 4.795 4.795 5.466 90.00 90.00 90.00
Site moments in Bohr magnetons follow the coordinates.
Fractional coordinates of all 5 atoms:
Br  0.500  0.500  0.500  -0.12
Cl  0.000  0.500  0.000  0.03
Ag  0.000  0.000  0.000  0.03
Cl  0.500  0.000  0.000  0.03
P  0.000  0.000  0.500  0.53

## AgPBrCl2 (PBE)

Data for crystalline AgPBrCl2 at its relaxed geometry.

Its energy above the most stable polymorph in this dataset is 0 meV per atom. The raw formation energy comes out at 455 meV/atom.

Lattice parameters (Å, degrees): 4.821 5.957 4.821 90.00 90.00 90.00
Site moments in Bohr magnetons follow the coordinates.
Fractional coordinates of all 5 atoms:
P  0.500  0.500  0.500  0.90
Cl  0.000  0.000  0.500  0.03
Ag  0.000  0.000  0.000  -0.01
Cl  0.500  0.000  0.000  0.03
Br  0.000  0.500  0.000  -0.11

Question: The highest raw formation energy belongs to which entry?
Answer: number 6